(1)
DFT (PBE) results for a relaxed structure of NaHfTe3.

a = 3.7182 Å, b = 15.0538 Å, c = 11.0731 Å
α = 90.00°, β = 90.00°, γ = 90.00°
Space group Cmcm (No. 63)
One atom of each set of equivalent atoms:
Na 0.0000 0.2482 0.2500 [4 per cell]
Hf 0.0000 0.5000 0.0000 [4 per cell]
Te 0.0000 0.1352 0.5599 [8 per cell]
Te 0.0000 0.4262 0.7500 [4 per cell]

As for the density of states at the Fermi level: 6.430 states/eV per cell. The value obtained for the energy relative to the lowest polymorph listed for this composition is 0.0 meV per atom. The size of the total moment comes out at 0.00 μB/cell.


(2)
DFT (PBE) results for a relaxed structure of NaHf3Te.

a = 5.3089 Å, b = 5.3089 Å, c = 5.3089 Å
α = 90.00°, β = 90.00°, γ = 90.00°
Space group Pm-3m (No. 221)
One atom of each set of equivalent atoms:
Na 0.0000 0.0000 0.0000 [1 per cell]
Hf 0.0000 0.5000 0.5000 [3 per cell]
Te 0.5000 0.5000 0.5000 [1 per cell]

As for the density of states at the Fermi level: 4.550 states/eV per cell. The value obtained for the energy relative to the lowest polymorph listed for this composition is 0.0 meV per atom. The size of the total moment comes out at 0.00 μB/cell.


(3)
DFT (PBE) results for a relaxed structure of Na3HfTe.

a = 5.8081 Å, b = 5.8081 Å, c = 5.8081 Å
α = 90.00°, β = 90.00°, γ = 90.00°
Space group Pm-3m (No. 221)
One atom of each set of equivalent atoms:
Na 0.0000 0.0000 0.5000 [3 per cell]
Hf 0.5000 0.5000 0.5000 [1 per cell]
Te 0.0000 0.0000 0.0000 [1 per cell]

As for the density of states at the Fermi level: 7.335 states/eV per cell. The value obtained for the energy relative to the lowest polymorph listed for this composition is 0.0 meV per atom. The size of the total moment comes out at 3.00 μB/cell.


Number 1: uncorrected formation energy -0.674 eV/atom. Number 2: uncorrected formation energy 0.906 eV/atom. Number 3: uncorrected formation energy 0.593 eV/atom.